(1)
## K9RbNa2 (PBE)

Data for K9RbNa2 after structural relaxation.

Output
- Space group: P4/mmm
- D(E_F): 0.645 states/eV/atom
- Crystal system: tetragonal
- Formation enthalpy at 0 K: 0.01 eV per atom

Cell lengths 6.4562, 6.4562, 19.2515 Å; angles 90.00, 90.00, 90.00 degrees
With the nearest neighbours (Å) after each atom.
Element x y z (fractional)
K: 0.5000 0.5000 0.0000  4 Rb 4.57, 8 K 4.81
K: 0.5000 0.5000 0.3424  8 K 4.43, 4 Na 4.57
K: 0.5000 0.5000 0.6576  8 K 4.43, 4 Na 4.57
K: 0.5000 0.0000 0.1851  2 Na 4.41, 8 K 4.43-4.81, 2 Rb 4.81
K: 0.5000 0.0000 0.5000  8 K 4.43-4.57, 4 Na 4.45
K: 0.5000 0.0000 0.8149  2 Na 4.41, 8 K 4.43-4.81, 2 Rb 4.81
K: 0.0000 0.5000 0.1851  2 Na 4.41, 8 K 4.43-4.81, 2 Rb 4.81
K: 0.0000 0.5000 0.5000  8 K 4.43-4.57, 4 Na 4.45
K: 0.0000 0.5000 0.8149  2 Na 4.41, 8 K 4.43-4.81, 2 Rb 4.81
Rb: 0.0000 0.0000 0.0000  12 K 4.57-4.81
Na: 0.0000 0.0000 0.3412  12 K 4.41-4.57
Na: 0.0000 0.0000 0.6588  12 K 4.41-4.57

***

(2)
## BeCd2Pb (PBE)

Data for BeCd2Pb after structural relaxation.

Output
- Space group: P4/mmm
- Energy above the lowest structure with this stoichiometry: 0.018 eV per atom
- D(E_F): 0.564 states/eV/atom
- Crystal system: tetragonal
- Formation enthalpy at 0 K: 0.32 eV per atom

Cell lengths 3.1326, 3.1327, 8.7222 Å; angles 90.00, 90.00, 90.00 degrees
With the nearest neighbours (Å) after each atom.
Element x y z (fractional)
Pb: 0.5000 0.5000 0.2500  4 Pb 3.13
Be: 0.5000 0.5000 0.7500  8 Cd 2.73
Cd: 0.0000 0.0000 0.9335  4 Be 2.73
Cd: 0.0000 0.0000 0.5665  4 Be 2.73

***

(3)
## Er2InBi (PBE)

Data for Er2InBi after structural relaxation.

Output
- Space group: Pnma
- Energy above the lowest structure with this stoichiometry: 0.022 eV per atom
- D(E_F): 0.618 states/eV/atom
- Crystal system: orthorhombic
- Formation enthalpy at 0 K: -0.46 eV per atom

Cell lengths 4.1994, 8.2379, 14.0300 Å; angles 90.00, 90.00, 90.00 degrees
With the nearest neighbours (Å) after each atom.
Element x y z (fractional)
Er: 0.7500 0.3080 0.5052  3 In 3.09-3.24, 3 Bi 3.18
Er: 0.2500 0.6920 0.4948  3 In 3.09-3.24, 3 Bi 3.18
Er: 0.7500 0.8080 0.9948  3 In 3.09-3.24, 3 Bi 3.18
Er: 0.2500 0.1920 0.0052  3 In 3.09-3.24, 3 Bi 3.18
Er: 0.7500 0.1884 0.7634  2 In 3.12-3.23, 4 Bi 3.19-3.22
Er: 0.2500 0.3116 0.2634  2 In 3.12-3.23, 4 Bi 3.19-3.22
Er: 0.7500 0.6884 0.7366  2 In 3.12-3.23, 4 Bi 3.19-3.22
Er: 0.2500 0.8116 0.2366  2 In 3.12-3.23, 4 Bi 3.19-3.22
In: 0.2500 0.5452 0.0788  5 Er 3.09-3.24, 2 In 3.14
In: 0.2500 0.0452 0.4212  5 Er 3.09-3.24, 2 In 3.14
In: 0.7500 0.4548 0.9212  5 Er 3.09-3.24, 2 In 3.14
In: 0.7500 0.9548 0.5788  5 Er 3.09-3.24, 2 In 3.14
Bi: 0.7500 0.0720 0.1606  7 Er 3.18-3.22
Bi: 0.2500 0.9280 0.8394  7 Er 3.18-3.22
Bi: 0.7500 0.5720 0.3394  7 Er 3.18-3.22
Bi: 0.2500 0.4280 0.6606  7 Er 3.18-3.22

***

(4)
## La2NbIr2 (PBE)

Data for La2NbIr2 after structural relaxation.

Output
- Space group: P4/mbm
- D(E_F): 0.832 states/eV/atom
- Crystal system: tetragonal
- Formation enthalpy at 0 K: -0.41 eV per atom

Cell lengths 6.9698, 6.9698, 4.7668 Å; angles 90.00, 90.00, 90.00 degrees
With the nearest neighbours (Å) after each atom.
Element x y z (fractional)
Nb: 0.0000 0.0000 0.0000  4 Ir 2.68
Nb: 0.5000 0.5000 0.0000  4 Ir 2.68
Ir: 0.3557 0.8557 0.0000  2 Nb 2.68, 1 Ir 2.84, 2 La 2.99
Ir: 0.8557 0.6443 0.0000  2 Nb 2.68, 1 Ir 2.84, 2 La 2.99
Ir: 0.6443 0.1443 0.0000  2 Nb 2.68, 1 Ir 2.84, 2 La 2.99
Ir: 0.1443 0.3557 0.0000  2 Nb 2.68, 1 Ir 2.84, 2 La 2.99
La: 0.1720 0.6720 0.5000  6 Ir 2.99-3.25
La: 0.6720 0.8280 0.5000  6 Ir 2.99-3.25
La: 0.8280 0.3280 0.5000  6 Ir 2.99-3.25
La: 0.3280 0.1720 0.5000  6 Ir 2.99-3.25

***

(5)
## CaTl2Re (PBE)

Data for CaTl2Re after structural relaxation.

Output
- Space group: Pm
- Energy above the lowest structure with this stoichiometry: 0.124 eV per atom
- D(E_F): 1.038 states/eV/atom
- Crystal system: monoclinic
- Formation enthalpy at 0 K: 0.65 eV per atom

Cell lengths 5.2713, 3.0823, 5.7710 Å; angles 86.94, 90.00, 90.00 degrees
With the nearest neighbours (Å) after each atom.
Element x y z (fractional)
Re: 0.5000 0.9805 0.7507  4 Tl 2.83-2.95, 2 Re 3.08
Tl: 0.0000 0.9733 0.9801  2 Re 2.95, 4 Tl 3.08-3.10, 2 Ca 3.10-3.14
Tl: 0.5000 0.0397 0.2592  2 Re 2.83-2.95, 4 Tl 3.08-3.10
Ca: 0.0000 0.5065 0.5100  2 Ca 3.08, 7 Tl 3.10-3.39, 4 Re 3.35-3.36

***

(6)
## Ca3HgRh (PBE)

Data for Ca3HgRh after structural relaxation.

Output
- Space group: Pm-3m
- Energy above the lowest structure with this stoichiometry: 0.117 eV per atom
- D(E_F): 0.393 states/eV/atom
- Crystal system: cubic
- Formation enthalpy at 0 K: -0.30 eV per atom

Cell lengths 5.4450, 5.4450, 5.4450 Å; angles 90.00, 90.00, 90.00 degrees
With the nearest neighbours (Å) after each atom.
Element x y z (fractional)
Ca: 0.0000 0.5000 0.0000  2 Rh 2.72
Ca: 0.0000 0.0000 0.5000  2 Rh 2.72
Ca: 0.5000 0.0000 0.0000  2 Rh 2.72
Rh: 0.0000 0.0000 0.0000  6 Ca 2.72
Hg: 0.5000 0.5000 0.5000  12 Ca 3.85

***

(7)
## Zr2CuMo (PBE)

Data for Zr2CuMo after structural relaxation.

Output
- Space group: Cmm2
- Energy above the lowest structure with this stoichiometry: 0.293 eV per atom
- D(E_F): 1.243 states/eV/atom
- Crystal system: orthorhombic
- Formation enthalpy at 0 K: 0.18 eV per atom

Cell lengths 2.8453, 2.8453, 9.1752 Å; angles 90.00, 90.00, 100.27 degrees
With the nearest neighbours (Å) after each atom.
Element x y z (fractional)
Cu: 0.0000 0.0000 0.5175  4 Mo 2.61-2.88, 2 Zr 2.79, 4 Cu 2.85
Mo: 0.5000 0.5000 0.7215  4 Cu 2.61-2.88, 4 Mo 2.85
Zr: 0.0000 0.0000 0.9742  4 Zr 2.85, 4 Mo 2.95-3.18
Zr: 0.5000 0.5000 0.2869  4 Cu 2.79-3.04, 4 Zr 2.85

***

(8)
## ZnHg3 (PBE)

Data for ZnHg3 after structural relaxation.

Output
- Space group: Imm2
- Energy above the lowest structure with this stoichiometry: 0.017 eV per atom
- D(E_F): 0.281 states/eV/atom
- Crystal system: orthorhombic
- Formation enthalpy at 0 K: 0.08 eV per atom

Cell lengths 6.0851, 5.6387, 3.6760 Å; angles 70.98, 90.00, 122.66 degrees
With the nearest neighbours (Å) after each atom.
Element x y z (fractional)
Zn: 0.5283 0.5000 0.7500  8 Hg 2.89-3.10
Hg: 0.9484 0.9144 0.0428  3 Zn 2.89-3.10, 3 Hg 3.11-3.20
Hg: 0.1559 0.5000 0.2500  2 Zn 2.92, 6 Hg 3.11-3.20
Hg: 0.5340 0.0856 0.4572  3 Zn 2.89-3.10, 3 Hg 3.11-3.20

***

(9)
## SrTeOs2 (PBE)

Data for SrTeOs2 after structural relaxation.

Output
- Space group: R-3m
- Raw formation energy: 1.0897 eV per atom
- Energy above the lowest structure with this stoichiometry: 0.985 eV per atom
- D(E_F): 1.332 states/eV/atom
- Crystal system: trigonal

Cell lengths 9.0368, 9.0368, 9.0368 Å; angles 21.11, 21.11, 21.11 degrees
With the nearest neighbours (Å) after each atom.
Element x y z (fractional)
Os: 0.0131 0.0131 0.0131  3 Te 2.67
Os: 0.4869 0.4869 0.4869  3 Te 2.67
Sr: 0.2500 0.2500 0.2500  6 Os 3.19, 6 Sr 3.31
Te: 0.7500 0.7500 0.7500  6 Os 2.67

***

(10)
## HgAsS6 (PBE)

Data for HgAsS6 after structural relaxation.

Output
- Space group: P-1
- Raw formation energy: 0.1338 eV per atom
- D(E_F): 0.220 states/eV/atom
- Crystal system: triclinic

Cell lengths 6.4012, 4.9628, 7.5071 Å; angles 97.02, 64.26, 85.99 degrees
With the nearest neighbours (Å) after each atom.
Element x y z (fractional)
Hg: 0.5000 0.5000 0.5000  2 S 2.37
As: 0.0000 0.0000 0.0000  6 S 2.41-2.56
S: 0.1720 0.8472 0.6432  1 Hg 2.37, 1 As 2.41
S: 0.3197 0.3142 0.9126  1 S 1.95
S: 0.8120 0.3599 0.8799  1 S 1.95
S: 0.6803 0.6858 0.0874  1 S 1.95
S: 0.8280 0.1528 0.3568  1 Hg 2.37, 1 As 2.41
S: 0.1880 0.6401 0.1201  1 S 1.95

***

(11)
## YCr2Cl (PBE)

Data for YCr2Cl after structural relaxation.

Output
- Space group: P4/mmm
- Raw formation energy: 0.3779 eV per atom
- Energy above the lowest structure with this stoichiometry: 0.514 eV per atom
- D(E_F): 0.890 states/eV/atom
- Crystal system: tetragonal

Cell lengths 3.2717, 3.2717, 8.1000 Å; angles 90.00, 90.00, 90.00 degrees
With the nearest neighbours (Å) after each atom.
Element x y z (fractional)
Y: 0.5000 0.5000 0.2500  8 Cr 3.22, 4 Y 3.27
Cr: 0.0000 0.0000 0.9739  4 Cl 2.94, 4 Y 3.22, 4 Cr 3.27
Cr: 0.0000 0.0000 0.5261  4 Cl 2.94, 4 Y 3.22, 4 Cr 3.27
Cl: 0.5000 0.5000 0.7500  8 Cr 2.94, 4 Cl 3.27

***

(12)
## Ca3PrPa2P6 (PBE)

Data for Ca3PrPa2P6 after structural relaxation.

Output
- Space group: C2/m
- D(E_F): 0.462 states/eV/atom
- Crystal system: monoclinic
- Formation enthalpy at 0 K: -1.30 eV per atom

Cell lengths 7.1220, 7.1220, 7.0567 Å; angles 99.71, 99.71, 119.99 degrees
With the nearest neighbours (Å) after each atom.
Element x y z (fractional)
Ca: 0.1635 0.8365 0.5000  6 P 2.90-3.02
Ca: 0.8365 0.1635 0.5000  6 P 2.90-3.02
Ca: 0.5000 0.5000 0.5000  6 P 2.87-3.01
Pr: 0.0000 0.0000 0.0000  6 P 2.93
Pa: 0.3328 0.6672 0.0000  6 P 2.78-2.79
Pa: 0.6672 0.3328 0.0000  6 P 2.78-2.79
P: 0.9224 0.5729 0.7679  2 Pa 2.78, 3 Ca 2.90-3.02, 1 Pr 2.93
P: 0.7287 0.7287 0.2334  2 Pa 2.79, 3 Ca 2.87-2.98, 1 Pr 2.93
P: 0.0776 0.4271 0.2321  2 Pa 2.78, 3 Ca 2.90-3.02, 1 Pr 2.93
P: 0.5729 0.9224 0.7679  2 Pa 2.78, 3 Ca 2.90-3.02, 1 Pr 2.93
P: 0.2713 0.2713 0.7666  2 Pa 2.79, 3 Ca 2.87-2.98, 1 Pr 2.93
P: 0.4271 0.0776 0.2321  2 Pa 2.78, 3 Ca 2.90-3.02, 1 Pr 2.93

***

no.,total magnetic moment (μB/cell)
1,0.00
2,0.00
3,0.00
4,0.00
5,0.00
6,0.00
7,0.00
8,0.00
9,0.00
10,0.00
11,8.36
12,0.00